Arrangement one

A geometry-optimized Ac2PuAu structure. Source: Alexandria via LeMat-Bulk, functional PBE.

Cell and atoms, written as POSCAR:
```
Ac2PuAu
1.0
3.8685 0.0000 0.0000
0.0000 3.8685 0.0000
0.0000 0.0000 8.9785
Ac Pu Au
2 1 1
Cartesian
0.0000 0.0000 1.9415
0.0000 0.0000 7.0370
1.9343 1.9343 4.4893
1.9343 1.9343 0.0000
```

---

Arrangement two

A geometry-optimized Ac2PuAu structure. Source: Alexandria via LeMat-Bulk, functional PBE.

Cell and atoms, written as POSCAR:
```
Ac2PuAu
1.0
3.8406 0.0000 0.0000
-1.9203 3.3261 0.0000
0.0000 0.0000 34.8568
Ac Pu Au
6 3 3
Cartesian
0.0000 0.0000 3.5135
0.0000 0.0000 31.3433
0.0000 2.2174 19.7244
0.0000 2.2174 26.7513
1.9203 1.1087 8.1055
1.9203 1.1087 15.1324
0.0000 0.0000 0.0000
0.0000 2.2174 23.2378
1.9203 1.1087 11.6189
0.0000 0.0000 17.4284
0.0000 2.2174 5.8095
1.9203 1.1087 29.0473
```

---

Stability summary: most stable arrangement one, least stable arrangement two.

---

Arrangement one

A geometry-optimized AcPu2Au structure. Source: Alexandria via LeMat-Bulk, functional PBE.

Cell and atoms, written as POSCAR:
```
AcPu2Au
1.0
4.4781 0.0000 0.0000
0.0000 4.4781 0.0000
0.0000 0.0000 5.6570
Ac Pu Au
1 2 1
Cartesian
0.0000 0.0000 0.0000
0.0000 2.2390 2.8285
2.2390 0.0000 2.8285
2.2390 2.2390 0.0000
```

---

Arrangement two

A geometry-optimized AcPu2Au structure. Source: Alexandria via LeMat-Bulk, functional PBE.

Cell and atoms, written as POSCAR:
```
AcPu2Au
1.0
3.8156 0.0000 0.0000
0.0000 3.8156 0.0000
0.0000 0.0000 8.1559
Ac Pu Au
1 2 1
Cartesian
0.0000 0.0000 0.0000
1.9078 1.9078 2.4922
1.9078 1.9078 5.6637
0.0000 0.0000 4.0779
```

---

Stability summary: most stable arrangement one, least stable arrangement two.

---

Arrangement one

A geometry-optimized Ac2Rh2Au3 structure. Source: Alexandria via LeMat-Bulk, functional PBE.

Cell and atoms, written as POSCAR:
```
Ac2Rh2Au3
1.0
4.0784 0.0000 0.0000
0.0000 20.0847 0.0000
0.0000 0.0000 4.0221
Ac Rh Au
4 4 6
Cartesian
0.0000 3.1637 0.0000
0.0000 16.9210 0.0000
2.0392 6.8786 0.0000
2.0392 13.2061 0.0000
0.0000 5.8713 2.0110
0.0000 14.2134 2.0110
2.0392 4.1711 2.0110
2.0392 15.9136 2.0110
0.0000 0.0000 0.0000
0.0000 8.6776 2.0110
0.0000 11.4071 2.0110
2.0392 1.3648 2.0110
2.0392 10.0423 0.0000
2.0392 18.7199 2.0110
```

---

Arrangement two

A geometry-optimized Ac2Rh2Au3 structure. Source: Alexandria via LeMat-Bulk, functional PBE.

Cell and atoms, written as POSCAR:
```
Ac2Rh2Au3
1.0
10.2877 0.0000 0.0000
0.0000 4.2992 0.0000
-0.9495 0.0000 7.2565
Ac Rh Au
4 4 6
Cartesian
0.9745 0.0000 2.3326
3.2199 2.1496 4.9239
6.1184 2.1496 2.3326
8.3637 0.0000 4.9239
0.2602 2.1496 4.7316
3.9342 0.0000 2.5249
5.4041 0.0000 4.7316
9.0780 2.1496 2.5249
0.0000 2.1496 0.0000
1.1046 0.0000 6.4064
3.0898 2.1496 0.8501
5.1439 0.0000 0.0000
6.2485 2.1496 6.4064
8.2336 0.0000 0.8501
```

---

Stability summary: most stable arrangement two, least stable arrangement one.

---

Arrangement one

A geometry-optimized Ac4RhAu structure. Source: Alexandria via LeMat-Bulk, functional PBE.

Cell and atoms, written as POSCAR:
```
Ac4RhAu
1.0
4.5069 -8.2918 0.0000
4.5069 8.2918 0.0000
-4.3153 0.0000 6.1281
Ac Rh Au
8 2 2
Cartesian
0.9467 3.3069 1.3496
-1.0192 0.8564 4.5123
1.1385 -0.8564 1.4483
-1.2110 -3.3069 4.4137
5.9095 3.3069 1.7144
3.5601 0.8564 4.6798
5.7177 -0.8564 1.6158
3.7519 -3.3069 4.7785
1.2704 7.0822 4.5961
3.4281 -7.0822 1.5320
3.4281 1.4356 1.5320
1.2704 -1.4356 4.5961
```

---

Arrangement two

A geometry-optimized Ac4RhAu structure. Source: Alexandria via LeMat-Bulk, functional PBE.

Cell and atoms, written as POSCAR:
```
Ac4RhAu
1.0
7.5001 0.0000 0.0000
0.0052 7.8507 0.0000
3.7418 3.1342 7.5446
Ac Rh Au
8 2 2
Cartesian
1.5886 4.6423 2.1491
2.1726 8.5695 2.1521
5.3250 9.1096 5.9186
5.9159 5.1852 5.9187
5.3313 5.7997 1.6259
5.9221 1.8752 1.6260
9.0745 2.4153 5.3924
9.6586 6.3426 5.3955
0.0026 3.9253 0.0000
3.7500 0.0000 0.0000
4.1037 3.5266 3.7739
7.1434 7.4583 3.7707
```

---

Stability summary: most stable arrangement one, least stable arrangement two.

---

Arrangement one

A geometry-optimized Ac3RhAu2 structure. Source: Alexandria via LeMat-Bulk, functional PBE.

Cell and atoms, written as POSCAR:
```
Ac3RhAu2
1.0
7.1945 -3.1585 0.0000
7.1945 3.1585 0.0000
-2.6685 0.0000 8.3487
Ac Rh Au
6 2 4
Cartesian
6.5274 -3.1563 2.0872
5.1931 3.1563 6.2615
2.5746 0.0036 7.7250
3.9089 -0.0036 3.5506
7.8117 0.0036 4.7981
9.1460 -0.0036 0.6237
6.5274 0.0027 2.0872
5.1931 -0.0027 6.2615
0.9242 0.0039 4.8964
2.2585 -0.0039 0.7220
9.4620 0.0039 7.6267
10.7963 -0.0039 3.4523
```

---

Arrangement two

A geometry-optimized Ac3RhAu2 structure. Source: Alexandria via LeMat-Bulk, functional PBE.

Cell and atoms, written as POSCAR:
```
Ac3RhAu2
1.0
3.8619 -6.6472 0.0000
3.8619 6.6472 0.0000
-2.5348 0.0000 7.4029
Ac Rh Au
6 2 4
Cartesian
-0.0394 2.3335 5.6676
1.1574 0.0000 1.6664
-0.0394 -2.3335 5.6676
5.2284 2.3335 1.7352
4.0317 0.0000 5.7364
5.2284 -2.3335 1.7352
3.8619 4.4101 0.0000
3.8619 -4.4101 0.0000
-1.2674 0.0000 3.7014
2.5945 2.0951 3.7014
3.8619 0.0000 0.0000
2.5945 -2.0951 3.7014
```

---

Stability summary: most stable arrangement two, least stable arrangement one.

---

Arrangement one

A geometry-optimized Ac6RhAu3 structure. Source: Alexandria via LeMat-Bulk, functional PBE.

Cell and atoms, written as POSCAR:
```
Ac6RhAu3
1.0
6.0736 -7.6602 0.0000
6.0736 7.6602 0.0000
0.0000 0.0000 7.7696
Ac Rh Au
12 2 6
Cartesian
6.0736 7.5552 3.8848
4.1360 3.7315 3.3128
6.0736 3.9257 7.2030
4.0398 0.3158 7.2273
4.0398 -0.3158 3.3425
8.0113 3.7315 3.3128
4.1360 -3.7315 7.1976
8.1075 0.3158 7.2273
8.1075 -0.3158 3.3425
6.0736 -3.9257 3.3182
8.0113 -3.7315 7.1976
6.0736 -7.5552 0.0000
6.0736 5.3958 1.9223
6.0736 -5.3958 5.8071
2.1762 1.7043 1.8011
2.1762 -1.7043 5.6859
6.0736 1.5682 4.9816
6.0736 -1.5682 1.0968
9.9711 1.7043 1.8011
9.9711 -1.7043 5.6859
```

---

Arrangement two

A geometry-optimized Ac6RhAu3 structure. Source: Alexandria via LeMat-Bulk, functional PBE.

Cell and atoms, written as POSCAR:
```
Ac6RhAu3
1.0
7.6646 0.0000 0.0000
0.0000 8.1829 0.0000
-6.7975 0.0000 11.2876
Ac Rh Au
12 2 6
Cartesian
-1.0358 0.4254 2.7727
-4.4346 3.6660 8.4165
1.2338 5.6021 0.9228
-2.1649 6.6723 6.5666
2.4236 1.4345 0.7702
-0.9751 2.6570 6.4140
1.8422 5.5259 4.8736
-1.5565 6.7485 10.5174
3.0320 1.5106 4.7210
-0.3668 2.5809 10.3648
5.3016 4.5169 2.8711
1.9029 7.7575 8.5149
0.0000 0.0000 0.0000
-3.3987 4.0915 5.6438
-2.7591 0.9320 8.7128
0.6396 3.1595 3.0690
0.4335 0.0000 5.6438
3.8323 4.0915 0.0000
0.2275 5.0235 8.2186
3.6262 7.2510 2.5748
```

---

Stability summary: most stable arrangement two, least stable arrangement one.

---

Arrangement one

A geometry-optimized Ac4RhAu2 structure. Source: Alexandria via LeMat-Bulk, functional PBE.

Cell and atoms, written as POSCAR:
```
Ac4RhAu2
1.0
5.7208 0.0000 0.0000
0.0000 5.7208 0.0000
0.0000 0.0000 15.4460
Ac Rh Au
8 2 4
Cartesian
0.0000 0.0000 2.9995
0.0000 0.0000 12.4464
0.0000 2.8604 0.0000
0.0000 2.8604 7.7230
2.8604 0.0000 0.0000
2.8604 0.0000 7.7230
2.8604 2.8604 4.7235
2.8604 2.8604 10.7225
0.0000 0.0000 0.0000
2.8604 2.8604 7.7230
0.0000 0.0000 6.0575
0.0000 0.0000 9.3884
2.8604 2.8604 1.6654
2.8604 2.8604 13.7805
```

---

Arrangement two

A geometry-optimized Ac4RhAu2 structure. Source: Alexandria via LeMat-Bulk, functional PBE.

Cell and atoms, written as POSCAR:
```
Ac4RhAu2
1.0
15.7519 0.0000 0.0000
0.0000 4.5966 0.0000
-1.4302 0.0000 6.5309
Ac Rh Au
8 2 4
Cartesian
0.8971 0.0000 1.7790
1.2692 2.2983 5.3389
5.1765 0.0000 1.1921
5.5486 2.2983 4.7519
8.7730 2.2983 1.7790
9.1451 0.0000 5.3389
13.0524 2.2983 1.1921
13.4245 0.0000 4.7519
0.0000 2.2983 0.0000
7.8759 0.0000 0.0000
3.1919 2.2983 2.2149
3.2538 0.0000 4.3160
11.0678 0.0000 2.2149
11.1298 2.2983 4.3160
```

---

Stability summary: most stable arrangement two, least stable arrangement one.

---

Arrangement one

A geometry-optimized AcSbRhAu structure. Source: Alexandria via LeMat-Bulk, functional PBE.

Cell and atoms, written as POSCAR:
```
AcSbRhAu
1.0
4.7019 0.0000 0.0000
-2.3509 4.0720 0.0000
0.0000 0.0000 5.5539
Ac Sb Rh Au
1 1 1 1
Cartesian
0.0000 0.0000 0.0000
2.3510 1.3573 2.2980
0.0000 2.7146 1.5059
0.0000 2.7146 4.1366
```

---

Arrangement two

A geometry-optimized AcSbRhAu structure. Source: Alexandria via LeMat-Bulk, functional PBE.

Cell and atoms, written as POSCAR:
```
AcSbRhAu
1.0
7.2464 0.0000 0.0000
0.0000 7.2464 0.0000
0.0000 0.0000 7.2464
Ac Sb Rh Au
4 4 4 4
Cartesian
0.0000 0.0000 0.0000
0.0000 3.6232 3.6232
3.6232 0.0000 3.6232
3.6232 3.6232 0.0000
0.0000 0.0000 3.6232
0.0000 3.6232 0.0000
3.6232 0.0000 0.0000
3.6232 3.6232 3.6232
1.8116 1.8116 1.8116
1.8116 5.4348 5.4348
5.4348 1.8116 5.4348
5.4348 5.4348 1.8116
1.8116 1.8116 5.4348
1.8116 5.4348 1.8116
5.4348 1.8116 1.8116
5.4348 5.4348 5.4348
```

---

Stability summary: most stable arrangement one, least stable arrangement two.

---

Arrangement one

A geometry-optimized AcSmRhAu structure. Source: Alexandria via LeMat-Bulk, functional PBE.

Cell and atoms, written as POSCAR:
```
AcSmRhAu
1.0
7.4128 0.0000 0.0000
0.0000 7.4128 0.0000
0.0000 0.0000 7.4128
Ac Sm Rh Au
4 4 4 4
Cartesian
0.0000 0.0000 0.0000
0.0000 3.7064 3.7064
3.7064 0.0000 3.7064
3.7064 3.7064 0.0000
0.0000 0.0000 3.7064
0.0000 3.7064 0.0000
3.7064 0.0000 0.0000
3.7064 3.7064 3.7064
1.8532 1.8532 1.8532
1.8532 5.5596 5.5596
5.5596 1.8532 5.5596
5.5596 5.5596 1.8532
1.8532 1.8532 5.5596
1.8532 5.5596 1.8532
5.5596 1.8532 1.8532
5.5596 5.5596 5.5596
```

---

Arrangement two

A geometry-optimized AcSmRhAu structure. Source: Alexandria via LeMat-Bulk, functional PBE.

Cell and atoms, written as POSCAR:
```
AcSmRhAu
1.0
4.7702 0.0000 0.0000
0.0000 4.0451 0.0000
0.0000 0.0000 10.8988
Ac Sm Rh Au
2 2 2 2
Cartesian
0.0000 0.0000 0.0000
0.0000 2.0226 5.4494
2.3851 0.0000 3.0440
2.3851 2.0226 8.4934
0.0000 0.0000 8.0435
0.0000 2.0226 2.5941
2.3851 0.0000 6.1691
2.3851 2.0226 0.7196
```

---

Stability summary: most stable arrangement two, least stable arrangement one.

---

Arrangement one

A geometry-optimized AcThRhAu structure. Source: Alexandria via LeMat-Bulk, functional PBE.

Cell and atoms, written as POSCAR:
```
AcThRhAu
1.0
4.2169 0.0000 0.0000
-2.1085 3.6519 0.0000
0.0000 0.0000 22.4677
Ac Th Rh Au
3 3 3 3
Cartesian
0.0000 0.0000 0.0000
0.0000 2.4346 14.9785
2.1085 1.2173 7.4892
0.0000 0.0000 18.2946
0.0000 2.4346 10.8054
2.1085 1.2173 3.3162
0.0000 0.0000 9.3348
0.0000 2.4346 1.8455
2.1085 1.2173 16.8240
0.0000 0.0000 5.2761
0.0000 2.4346 20.2546
2.1085 1.2173 12.7653
```

---

Arrangement two

A geometry-optimized AcThRhAu structure. Source: Alexandria via LeMat-Bulk, functional PBE.

Cell and atoms, written as POSCAR:
```
AcThRhAu
1.0
7.4531 0.0000 0.0000
0.0000 7.4531 0.0000
0.0000 0.0000 7.4531
Ac Th Rh Au
4 4 4 4
Cartesian
0.0000 0.0000 0.0000
0.0000 3.7266 3.7266
3.7266 0.0000 3.7266
3.7266 3.7266 0.0000
0.0000 0.0000 3.7266
0.0000 3.7266 0.0000
3.7266 0.0000 0.0000
3.7266 3.7266 3.7266
1.8633 1.8633 5.5898
1.8633 5.5898 1.8633
5.5898 1.8633 1.8633
5.5898 5.5898 5.5898
1.8633 1.8633 1.8633
1.8633 5.5898 5.5898
5.5898 1.8633 5.5898
5.5898 5.5898 1.8633
```

---

Stability summary: most stable arrangement one, least stable arrangement two.

---

Arrangement one

A geometry-optimized Ac3RuAu2 structure. Source: Alexandria via LeMat-Bulk, functional PBE.

Cell and atoms, written as POSCAR:
```
Ac3RuAu2
1.0
18.0893 0.0000 0.0000
0.0000 4.6451 0.0000
-0.0038 0.0000 4.2598
Ac Ru Au
6 2 4
Cartesian
0.0000 0.0000 0.0000
2.7833 2.3225 2.1336
6.2575 0.0000 2.1262
9.0446 2.3225 0.0000
11.8279 0.0000 2.1336
15.3021 2.3225 2.1262
-0.0019 2.3225 2.1299
9.0427 0.0000 2.1299
3.5217 0.0000 0.0043
5.5191 2.3225 4.2555
12.5664 2.3225 0.0043
14.5637 0.0000 4.2555
```

---

Arrangement two

A geometry-optimized Ac3RuAu2 structure. Source: Alexandria via LeMat-Bulk, functional PBE.

Cell and atoms, written as POSCAR:
```
Ac3RuAu2
1.0
7.2268 -3.1459 0.0000
7.2268 3.1459 0.0000
-2.5961 0.0000 8.2519
Ac Ru Au
6 2 4
Cartesian
6.5778 -3.1446 2.0630
5.2798 3.1446 6.1890
2.7222 0.0048 7.6555
4.0202 -0.0048 3.5296
7.8373 0.0048 4.7224
9.1354 -0.0048 0.5964
6.5778 0.0031 2.0630
5.2798 -0.0031 6.1890
1.0088 0.0052 4.8502
2.3069 -0.0052 0.7242
9.5507 0.0052 7.5277
10.8487 -0.0052 3.4017
```

---

Stability summary: most stable arrangement one, least stable arrangement two.

---

Arrangement one

A geometry-optimized Ac5RuAu structure. Source: Alexandria via LeMat-Bulk, functional PBE.

Cell and atoms, written as POSCAR:
```
Ac5RuAu
1.0
7.6975 0.0000 0.0000
0.0000 4.2547 0.0000
-0.1376 0.0000 16.5476
Ac Ru Au
10 2 2
Cartesian
0.2479 1.0637 3.5937
0.8681 1.0637 9.5652
1.6836 3.1910 0.0198
2.8335 3.1910 6.8123
3.1402 1.0637 13.4054
4.4198 3.1910 3.1422
4.7264 1.0637 9.7353
5.8763 1.0637 16.5278
6.6918 3.1910 6.9824
7.3121 3.1910 12.9539
0.6121 1.0637 14.6771
6.9478 3.1910 1.8706
2.6972 3.1910 11.0805
4.8628 1.0637 5.4671
```

---

Arrangement two

A geometry-optimized Ac5RuAu structure. Source: Alexandria via LeMat-Bulk, functional PBE.

Cell and atoms, written as POSCAR:
```
Ac5RuAu
1.0
6.4477 -4.0417 0.0000
6.4477 4.0417 0.0000
-4.5466 0.0000 10.5257
Ac Ru Au
10 2 2
Cartesian
3.0377 3.5102 7.8942
-0.0571 1.1644 6.7173
5.1920 1.3954 0.0187
2.2162 -1.1644 1.4544
5.4301 1.3954 5.2442
2.9187 -1.3954 5.2815
6.1325 1.1644 9.0712
3.1567 -1.3954 10.5070
8.4058 -1.1644 3.8084
5.3110 -3.5102 2.6314
0.0000 0.0000 0.0000
-2.2733 0.0000 5.2628
3.0377 0.3825 7.8942
5.3110 -0.3825 2.6314
```

---

Stability summary: most stable arrangement one, least stable arrangement two.